(1)
Density functional theory data (PBE-GGA) for a relaxed structure of YTcMo2.

The structure in extended XYZ format:
```
4
Lattice="1.628 -2.347 0.000 1.628 2.347 0.000 0.000 0.000 9.335" Properties=species:S:1:pos:R:3 pbc="T T T"
Y 0.000 0.000 0.000
Tc 0.000 0.000 4.668
Mo 1.628 0.000 2.609
Mo 1.628 0.000 6.726
```

Computed properties:
The calculation puts the calculated formation energy at 0.39 eV per atom. The total energy comes out at -36.9 eV/f.u.

(2)
Density functional theory data (PBE-GGA) for a relaxed structure of YTc2Mo.

The structure in extended XYZ format:
```
4
Lattice="-1.925 1.925 4.779 1.925 -1.925 4.779 1.925 1.925 -4.779" Properties=species:S:1:pos:R:3 pbc="T T T"
Y 0.000 0.000 0.000
Tc 0.000 0.000 4.779
Tc 0.000 1.925 2.390
Mo 1.925 0.000 2.390
```

Computed properties:
The calculation puts the calculated formation energy at 0.46 eV per atom. The total energy comes out at -36.2 eV/f.u.

(3)
Density functional theory data (PBE-GGA) for a relaxed structure of YTc2Mo.

The structure in extended XYZ format:
```
4
Lattice="2.871 -4.470 0.000 2.871 4.470 0.000 -1.037 0.000 2.682" Properties=species:S:1:pos:R:3 pbc="T T T"
Y 0.000 0.000 0.000
Tc 0.917 2.235 1.341
Tc 0.917 -2.235 1.341
Mo 2.871 0.000 0.000
```

Computed properties:
The calculation puts the calculated formation energy at 0.32 eV per atom. The total energy comes out at -36.7 eV/f.u.

(4)
Density functional theory data (PBE-GGA) for a relaxed structure of Y2TcMo.

The structure in extended XYZ format:
```
4
Lattice="1.647 0.951 9.067 -1.647 0.951 9.067 0.000 -1.902 9.067" Properties=species:S:1:pos:R:3 pbc="T T T"
Y 0.000 0.000 6.667
Y 0.000 0.000 20.535
Tc 0.000 0.000 13.601
Mo 0.000 0.000 0.000
```

Computed properties:
The calculation puts the calculated formation energy at 0.59 eV per atom. The total energy comes out at -31.8 eV/f.u.

(5)
Density functional theory data (PBE-GGA) for a relaxed structure of YTcMo.

The structure in extended XYZ format:
```
3
Lattice="0.000 3.208 3.208 3.208 0.000 3.208 3.208 3.208 0.000" Properties=species:S:1:pos:R:3 pbc="T T T"
Y 0.000 0.000 0.000
Tc 1.604 1.604 1.604
Mo 4.812 4.812 4.812
```

Computed properties:
The calculation puts the calculated formation energy at 1.68 eV per atom. The total energy comes out at -22.6 eV/f.u.

(6)
Density functional theory data (PBE-GGA) for a relaxed structure of Y2TcMo.

The structure in extended XYZ format:
```
4
Lattice="-1.750 2.504 4.720 1.750 -2.504 4.720 1.750 2.504 -4.720" Properties=species:S:1:pos:R:3 pbc="T T T"
Y 0.000 0.000 2.234
Y 0.000 0.000 7.206
Tc 1.750 0.000 0.000
Mo 0.000 2.504 0.000
```

Computed properties:
The calculation puts the calculated formation energy at 0.47 eV per atom. The total energy comes out at -32.2 eV/f.u.